First-principles (PBE with a Hubbard U) data for K3SrMn2F9 after structural relaxation, as listed in the Alexandria database.

Unit cell a=6.163 b=6.163 c=7.940 alpha=90.00 beta=90.00 gamma=120.00
Site moments in Bohr magnetons follow the coordinates.
Fractional positions:
K  0.333  0.667  0.720  0.00
K  0.000  0.000  0.000  0.00
K  0.667  0.333  0.280  0.00
Sr  0.000  0.000  0.500  0.01
Mn  0.333  0.667  0.159  4.69
Mn  0.667  0.333  0.841  4.69
F  0.829  0.171  0.693  0.02
F  0.829  0.659  0.693  0.02
F  0.341  0.171  0.693  0.02
F  0.659  0.829  0.307  0.02
F  0.171  0.341  0.307  0.02
F  0.171  0.829  0.307  0.02
F  0.500  0.000  0.000  0.04
F  0.000  0.500  0.000  0.04
F  0.500  0.500  0.000  0.04

Properties
- total DFT energy (no corrections) (eV per atom) = -5.418
- M_tot (μB/atom) = 0.667